This record from Alexandria describes CdInNiAu2 at its PBEsol-relaxed geometry. The functional is meta-GGA SCAN.

Unit cell a=5.029 b=5.029 c=4.670 alpha=90.00 beta=90.00 gamma=90.00
Fractional coordinates of all 5 atoms:
Cd1 0.000 0.000 0.000
In1 0.500 0.500 0.500
Ni1 0.500 0.500 0.000
Au1 0.000 0.500 0.500
Au2 0.500 0.000 0.500

E_form: 0.741 eV/atom
VASP energy: -42.917 eV per atom
crystal system: tetragonal

This record from Alexandria describes SrMgRu2 at its PBEsol-relaxed geometry. The functional is meta-GGA SCAN.

Unit cell a=2.893 b=2.893 c=8.601 alpha=90.00 beta=90.00 gamma=90.00
Fractional coordinates of all 4 atoms:
Sr1 0.000 0.000 0.000
Mg1 0.000 0.000 0.500
Ru1 0.500 0.500 0.280
Ru2 0.500 0.500 0.720

E_form: 0.589 eV/atom
VASP energy: -23.637 eV per atom
crystal system: tetragonal